Material: Ba2Sr2Rh
Method: DFT, PBE-GGA
State: optimized geometry

abc: 6.079 6.194 6.194
angles: 90.00 90.00 90.00
Atoms (fractional coordinates):
Ba: 0.000 0.500 0.000
Rh: 0.000 0.000 0.000
Sr: 0.500 0.500 0.500
Ba: 0.000 0.000 0.500
Sr: 0.500 0.000 0.000

Calculated total energy: -3.04 eV/atom
Size of the total moment: 0.00 Bohr magnetons per cell
Theoretical density: 3.936 g/cm³
ΔE_f: -0.13 eV per atom